(1)
Density functional theory data (PBE+U) for Ba3UFe2O9 after structural relaxation.

Geometry as POSCAR:
```
Ba3UFe2O9
1.0
10.233 0.027 -0.019
5.098 8.873 0.019
-6.789 -5.959 4.807
Ba U Fe O
6 2 4 18
direct
0.768 0.500 0.268
0.396 0.157 0.239
0.081 0.843 0.239
0.232 0.500 0.732
0.919 0.157 0.761
0.604 0.843 0.761
0.668 0.668 0.000
0.332 0.332 0.000
0.500 0.000 0.500
0.161 0.661 0.500
0.839 0.339 0.500
0.000 0.000 0.000
0.744 0.000 0.744
0.416 0.667 0.748
0.081 0.333 0.748
0.584 0.835 0.250
0.249 0.499 0.250
0.916 0.167 0.251
0.416 0.666 0.250
0.084 0.335 0.251
0.751 0.002 0.250
0.256 0.000 0.256
0.919 0.667 0.252
0.584 0.333 0.252
0.416 0.165 0.750
0.084 0.833 0.749
0.751 0.501 0.750
0.584 0.334 0.750
0.249 0.998 0.750
0.916 0.665 0.749
```

Properties
* space group: No. 71
* calculated volume: 14.55 A^3/atom
* final energy: -221.91 eV for the cell shown
* excess energy over the best structure of this formula in the dataset: 0.033 eV/f.u.

=====

(2)
Density functional theory data (PBE+U) for Ba2V2FeO9 after structural relaxation.

Geometry as POSCAR:
```
Ba2V2FeO9
1.0
-1.875 5.601 0.275
-0.739 0.177 -8.643
-8.485 -2.677 -3.310
Ba V Fe O
4 4 2 18
direct
0.750 0.712 0.406
0.250 0.288 0.594
0.750 0.303 0.235
0.250 0.697 0.765
0.750 0.001 0.690
0.250 0.999 0.310
0.750 0.412 0.803
0.250 0.588 0.197
0.500 0.000 0.000
0.000 0.000 0.000
0.750 0.503 0.930
0.250 0.497 0.070
0.998 0.036 0.195
0.002 0.964 0.805
0.498 0.964 0.805
0.502 0.036 0.195
0.750 0.205 0.552
0.250 0.795 0.448
0.750 0.864 0.604
0.250 0.136 0.396
0.517 0.485 0.684
0.483 0.515 0.316
0.017 0.515 0.316
0.983 0.485 0.684
0.750 0.180 0.908
0.250 0.820 0.092
0.750 0.856 0.074
0.250 0.144 0.926
```

Properties
* space group: No. 11
* calculated volume: 15.80 A^3/atom
* final energy: -198.29 eV for the cell shown

=====

- Number 1 is which compound?
  Ba3UFe2O9